A geometry-optimized MnCdH structure, computed with PBE-GGA.

The structure in POSCAR format:
```
MnCdH
1.0
-1.695 -0.832 2.011
-1.405 -1.528 -1.817
2.809 -3.617 0.871
Mn Cd H
1 1 1
direct
0.000 0.000 0.500
0.500 0.500 0.000
0.500 0.500 0.500
```

**Space-group type**: P4/mmm
**Polymorph energy (0 for the lowest one)**: 28 kJ/mol of formula units
**Magnetic moment**: 0.94 μB/atom
**DOS(E_F)**: 0.94 states/eV/cell
**ρ**: 7.88 g/cm3


A geometry-optimized Na2LaTl2 structure, computed with PBE-GGA.

The structure in POSCAR format:
```
Na2LaTl2
1.0
9.193 0.000 0.000
0.000 9.193 0.000
0.000 0.000 3.399
Na Tl La
4 4 2
direct
0.385 0.885 0.000
0.885 0.615 0.000
0.615 0.115 0.000
0.115 0.385 0.000
0.186 0.686 0.500
0.686 0.814 0.500
0.814 0.314 0.500
0.314 0.186 0.500
0.000 0.000 0.000
0.500 0.500 0.000
```

**Space-group type**: P4/mbm
**Polymorph energy (0 for the lowest one)**: 9 kJ/mol of formula units
**Energy of formation**: -0.109 eV per atom
**Magnetic moment**: 0.08 μB/atom
**DOS(E_F)**: 7.39 states/eV/cell
**ρ**: 6.86 g/cm3


A geometry-optimized Tb4InCo2 structure, computed with PBE-GGA.

The structure in POSCAR format:
```
Tb4InCo2
1.0
6.794 0.572 0.963
0.093 7.121 -1.188
-2.667 -4.814 7.579
Tb In Co
8 2 4
direct
0.946 0.023 0.207
0.345 0.661 0.251
0.771 0.719 0.733
0.875 0.112 0.603
0.457 0.234 0.345
0.438 0.146 0.759
0.320 0.662 0.870
0.815 0.460 0.152
0.145 0.653 0.527
0.154 0.126 0.963
0.718 0.561 0.911
0.632 0.846 0.213
0.576 0.060 0.021
0.058 0.485 0.945
```

**Space-group type**: P1
**Energy of formation**: -0.166 eV per atom
**Magnetic moment**: 0.00 μB/atom
**DOS(E_F)**: 11.69 states/eV/cell
**ρ**: 8.31 g/cm3


A geometry-optimized LaMgMoS4 structure, computed with PBE-GGA.

The structure in POSCAR format:
```
LaMgMoS4
1.0
-5.986 2.313 4.410
-4.443 0.275 -6.388
3.730 -6.556 1.931
La Mg Mo S
2 2 2 8
direct
0.500 0.000 0.500
0.000 0.000 0.000
0.872 0.622 0.250
0.128 0.378 0.750
0.500 0.500 0.500
0.500 0.000 0.000
0.704 0.739 0.966
0.269 0.763 0.994
0.269 0.276 0.506
0.727 0.261 0.466
0.731 0.724 0.494
0.273 0.739 0.534
0.296 0.261 0.034
0.731 0.237 0.006
```

**Raw formation energy**: -1.1876 eV/atom
**Space-group type**: Imma
**Magnetic moment**: 0.43 μB/atom
**DOS(E_F)**: 0.81 states/eV/cell
**ρ**: 3.83 g/cm3


A geometry-optimized Ce2MgAl4Zn3 structure, computed with PBE-GGA.

The structure in POSCAR format:
```
Ce2MgAl4Zn3
1.0
4.248 0.000 0.000
0.000 4.248 0.000
0.000 0.000 11.158
Ce Mg Al Zn
2 1 4 3
direct
0.500 0.000 0.242
0.000 0.500 0.758
0.500 0.500 0.500
0.500 0.500 0.000
0.000 0.000 0.000
0.500 0.000 0.647
0.000 0.500 0.353
0.000 0.000 0.500
0.500 0.000 0.868
0.000 0.500 0.132
```

**Space-group type**: P-4m2
**Energy of formation**: -0.303 eV per atom
**Magnetic moment**: 0.15 μB/atom
**DOS(E_F)**: 13.04 states/eV/cell
**ρ**: 5.02 g/cm3


A geometry-optimized PaCrC structure, computed with PBE-GGA.

The structure in POSCAR format:
```
PaCrC
1.0
-1.964 -0.785 1.958
-1.577 -1.231 -2.076
4.046 -3.027 0.723
Cr C Pa
1 1 1
direct
0.281 0.281 0.561
0.711 0.711 0.422
0.009 0.009 0.017
```

**Space-group type**: I4mm
**Polymorph energy (0 for the lowest one)**: 42 kJ/mol of formula units
**Energy of formation**: 0.230 eV per atom
**Magnetic moment**: 0.00 μB/atom
**DOS(E_F)**: 2.81 states/eV/cell
**ρ**: 12.60 g/cm3